# NbCrCo (PBE, relaxed)
data_NbCrCo
_symmetry_space_group_name_H-M 'P 1'
_symmetry_Int_Tables_number 1
_symmetry_space_group_name_Hall 'P 1'
_cell_length_a 4.127
_cell_length_b 4.127
_cell_length_c 4.127
_cell_angle_alpha 60.00
_cell_angle_beta 60.00
_cell_angle_gamma 60.00
loop_
_atom_site_label
_atom_site_type_symbol
_atom_site_fract_x
_atom_site_fract_y
_atom_site_fract_z
Cr1 Cr 0.500 0.500 0.500
Nb1 Nb 0.250 0.250 0.250
Co1 Co 0.000 0.000 0.000
# DOS at the Fermi energy in states/eV/cell: 2.66
# Formation energy from the elements in eV per atom: 0.8081
# Energy above the lowest structure with this stoichiometry in meV per atom: 920


# PHPb2Cl (PBE, relaxed)
data_PHPb2Cl
_symmetry_space_group_name_H-M 'P 1'
_symmetry_Int_Tables_number 1
_symmetry_space_group_name_Hall 'P 1'
_cell_length_a 5.188
_cell_length_b 3.877
_cell_length_c 5.188
_cell_angle_alpha 90.00
_cell_angle_beta 90.00
_cell_angle_gamma 90.00
loop_
_atom_site_label
_atom_site_type_symbol
_atom_site_fract_x
_atom_site_fract_y
_atom_site_fract_z
Pb1 Pb 0.000 0.000 0.500
Pb2 Pb 0.500 0.000 0.000
P1 P 0.500 0.500 0.500
H1 H 0.000 0.000 0.000
Cl1 Cl 0.000 0.500 0.000
# DOS at the Fermi energy in states/eV/cell: 3.70


# Rb2SbBr6Cl (PBE, relaxed)
data_Rb2SbBr6Cl
_symmetry_space_group_name_H-M 'P 1'
_symmetry_Int_Tables_number 1
_symmetry_space_group_name_Hall 'P 1'
_cell_length_a 8.120
_cell_length_b 8.120
_cell_length_c 8.121
_cell_angle_alpha 60.00
_cell_angle_beta 60.00
_cell_angle_gamma 90.00
loop_
_atom_site_label
_atom_site_type_symbol
_atom_site_fract_x
_atom_site_fract_y
_atom_site_fract_z
Sb1 Sb 0.000 0.000 0.000
Br1 Br 0.231 0.231 0.538
Br2 Br 0.769 0.769 0.462
Br3 Br 0.231 0.231 0.000
Br4 Br 0.769 0.769 0.000
Br5 Br 0.769 0.231 0.000
Br6 Br 0.231 0.769 0.000
Rb1 Rb 0.750 0.250 0.500
Rb2 Rb 0.250 0.750 0.500
Cl1 Cl 0.500 0.500 0.000
# DOS at the Fermi energy in states/eV/cell: 0.00
# Uncorrected formation energy in eV per formula unit: -9.438


# BeICl2 (PBE, relaxed)
data_BeICl2
_symmetry_space_group_name_H-M 'P 1'
_symmetry_Int_Tables_number 1
_symmetry_space_group_name_Hall 'P 1'
_cell_length_a 5.080
_cell_length_b 5.080
_cell_length_c 5.080
_cell_angle_alpha 60.00
_cell_angle_beta 60.00
_cell_angle_gamma 60.00
loop_
_atom_site_label
_atom_site_type_symbol
_atom_site_fract_x
_atom_site_fract_y
_atom_site_fract_z
I1 I 0.500 0.500 0.500
Be1 Be 0.000 0.000 0.000
Cl1 Cl 0.250 0.250 0.250
Cl2 Cl 0.750 0.750 0.750
# DOS at the Fermi energy in states/eV/cell: 3.56
# Uncorrected formation energy in eV per formula unit: 3.015
# Energy above the lowest structure with this stoichiometry in meV per atom: 1530


Number 1: total DFT energy (no corrections) -24.37 eV/cell, density 6.808 g cm⁻³. Number 2: total DFT energy (no corrections) -16.57 eV/cell, density 7.666 g cm⁻³. Number 3: total DFT energy (no corrections) -27.38 eV/cell, density 3.542 g cm⁻³. Number 4: total DFT energy (no corrections) -5.96 eV/cell, density 3.705 g cm⁻³.